# 1
Computed, not measured: an optimized crystal structure of RbOsNO3 at the GGA-PBEsol level of DFT.

The structure belongs to space group P2_12_12_1 (No. 19); the cell edges are 5.5599, 5.7845 and 13.6707 Å and the angles 90.00°, 90.00° and 90.00°. The distinct sites, in fractional coordinates, are Rb at (0.0223, 0.2243, 0.1228), Os at (0.0373, 0.7573, 0.8679), N at (0.0164, 0.0316, 0.5559), O at (0.0367, 0.5118, 0.5691), O at (0.1439, 0.2200, 0.7359) and O at (0.1557, 0.2493, 0.3364).

Its density is 5.1 Mg/m³. The calculation puts the uncorrected formation energy at -5.30 eV per formula unit.

***

# 2
Computed, not measured: an optimized crystal structure of OsRuNO2 at the GGA-PBEsol level of DFT.

The structure belongs to space group P4/mmm (No. 123); the cell edges are 3.8474, 3.8474 and 3.8303 Å and the angles 90.00°, 90.00° and 90.00°. The distinct sites, in fractional coordinates, are Os at (0.0000, 0.0000, 0.0000), Ru at (0.5000, 0.5000, 0.5000), N at (0.0000, 0.0000, 0.5000) and O at (0.0000, 0.5000, 0.0000).

Its density is 9.9 Mg/m³. The calculation puts the uncorrected formation energy at 2.75 eV per formula unit.

***

# 3
Computed, not measured: an optimized crystal structure of OsSeN2O at the GGA-PBEsol level of DFT.

The structure belongs to space group P4/mmm (No. 123); the cell edges are 3.9114, 3.9114 and 3.7839 Å and the angles 90.00°, 90.00° and 90.00°. The distinct sites, in fractional coordinates, are Os at (0.0000, 0.0000, 0.0000), Se at (0.5000, 0.5000, 0.5000), N at (0.0000, 0.5000, 0.0000) and O at (0.0000, 0.0000, 0.5000).

Its density is 9.0 Mg/m³. The calculation puts the uncorrected formation energy at 3.58 eV per formula unit.

***

# 4
Computed, not measured: an optimized crystal structure of Re2PNO at the GGA-PBEsol level of DFT.

The structure belongs to space group P4/mmm (No. 123); the cell edges are 4.0063, 4.0063 and 3.8143 Å and the angles 90.00°, 90.00° and 90.00°. The distinct sites, in fractional coordinates, are Re at (0.0000, 0.5000, 0.0000), P at (0.0000, 0.0000, 0.5000), N at (0.5000, 0.5000, 0.5000) and O at (0.0000, 0.0000, 0.0000).

Its density is 11.8 Mg/m³. The calculation puts the uncorrected formation energy at 8.28 eV per formula unit.